[1]
{"formula": "Nd2MgSnO6", "functional": "PBE-GGA", "state": "relaxed", "space_group": "No. 14", "mass_density_g_cm3": 6.96, "lattice": [[5.5263, 0.0000, 0.0000], [0.0000, 5.7404, 0.0000], [-5.4832, 0.0000, 7.9399]], "species": ["Nd", "Nd", "Nd", "Nd", "Mg", "Mg", "Sn", "Sn", "O", "O", "O", "O", "O", "O", "O", "O", "O", "O", "O", "O"], "frac_coords": [[0.2333, 0.0564, 0.2496], [0.2333, 0.4436, 0.7496], [0.7667, 0.5564, 0.2504], [0.7667, 0.9436, 0.7504], [0.0000, 0.0000, 0.5000], [0.0000, 0.5000, 0.0000], [0.5000, 0.0000, 0.0000], [0.5000, 0.5000, 0.5000], [0.1454, 0.2011, 0.9458], [0.1454, 0.2989, 0.4458], [0.2457, 0.7020, 0.9450], [0.2457, 0.7980, 0.4450], [0.3537, 0.0352, 0.7497], [0.3537, 0.4648, 0.2497], [0.6463, 0.5352, 0.7503], [0.6463, 0.9648, 0.2503], [0.7543, 0.2020, 0.5550], [0.7543, 0.2980, 0.0550], [0.8546, 0.7011, 0.5542], [0.8546, 0.7989, 0.0542]]}

=====

[2]
{"formula": "Nd2MgTaO6", "functional": "PBE-GGA", "state": "relaxed", "space_group": "No. 14", "mass_density_g_cm3": 7.93, "lattice": [[5.5432, 0.0000, 0.0000], [0.0000, 5.6817, 0.0000], [-5.5213, 0.0000, 7.8384]], "species": ["Nd", "Nd", "Nd", "Nd", "Mg", "Mg", "Ta", "Ta", "O", "O", "O", "O", "O", "O", "O", "O", "O", "O", "O", "O"], "frac_coords": [[0.2370, 0.0657, 0.2487], [0.2370, 0.4343, 0.7487], [0.7630, 0.5657, 0.2513], [0.7630, 0.9343, 0.7513], [0.5000, 0.0000, 0.0000], [0.5000, 0.5000, 0.5000], [0.0000, 0.0000, 0.5000], [0.0000, 0.5000, 0.0000], [0.1436, 0.2031, 0.9438], [0.1436, 0.2969, 0.4438], [0.2581, 0.6934, 0.9547], [0.2581, 0.8066, 0.4547], [0.3482, 0.0196, 0.7494], [0.3482, 0.4804, 0.2494], [0.6518, 0.5196, 0.7506], [0.6518, 0.9804, 0.2506], [0.7419, 0.1934, 0.5453], [0.7419, 0.3066, 0.0453], [0.8564, 0.7031, 0.5562], [0.8564, 0.7969, 0.0562]]}

=====

| no. | E (eV/atom) |
| --- | --- |
| 1 | -7.241 |
| 2 | -8.275 |